DFT (GGA-PBE) results for a relaxed BaSi4Tc crystal.

```
BaSi4Tc
1.0
0.000 3.836 3.836
3.836 0.000 3.836
3.836 3.836 0.000
Ba Si Tc
1 4 1
direct
0.000 0.000 0.000
0.142 0.619 0.619
0.619 0.142 0.619
0.619 0.619 0.142
0.619 0.619 0.619
0.250 0.250 0.250
```

The formation energy from raw total energies comes out at 3.63 eV/f.u. The value obtained for the size of the total moment is 0.340 μB per atom. For the density of states at the Fermi level, the calculation gives 0.72 states/eV/atom. Its symmetry is F-43m, No. 216.

***

DFT (GGA-PBE) results for a relaxed Ba4SiTc crystal.

```
Ba4SiTc
1.0
0.000 4.918 4.918
4.918 0.000 4.918
4.918 4.918 0.000
Ba Si Tc
4 1 1
direct
0.125 0.125 0.125
0.125 0.125 0.626
0.125 0.626 0.125
0.626 0.125 0.125
0.750 0.750 0.750
0.500 0.500 0.500
```

The formation energy from raw total energies comes out at 7.09 eV/f.u. The value obtained for the size of the total moment is 0.458 μB per atom. For the density of states at the Fermi level, the calculation gives 1.30 states/eV/atom. Its symmetry is F-43m, No. 216.

***

DFT (GGA-PBE) results for a relaxed BaSiTc3 crystal.

```
BaSiTc3
1.0
4.690 0.000 0.000
0.000 4.690 0.000
0.000 0.000 4.690
Ba Si Tc
1 1 3
direct
0.000 0.000 0.000
0.500 0.500 0.500
0.000 0.500 0.500
0.500 0.000 0.500
0.500 0.500 0.000
```

The formation energy from raw total energies comes out at 4.22 eV/f.u. The energy above the most stable polymorph in this dataset comes out at 0.000 eV per atom. The value obtained for the size of the total moment is 0.722 μB per atom. For the density of states at the Fermi level, the calculation gives 1.20 states/eV/atom. Its symmetry is Pm-3m, No. 221.

***

DFT (GGA-PBE) results for a relaxed Ba2SiTc crystal.

```
Ba2SiTc
1.0
-2.496 2.496 4.723
2.496 -2.496 4.723
2.496 2.496 -4.723
Ba Si Tc
2 1 1
direct
0.250 0.750 0.500
0.750 0.250 0.500
0.000 0.000 0.000
0.500 0.500 0.000
```

The formation energy from raw total energies comes out at 2.87 eV/f.u. The value obtained for the size of the total moment is 0.644 μB per atom. For the density of states at the Fermi level, the calculation gives 1.20 states/eV/atom. Its symmetry is I4/mmm, No. 139.